1.
# Nd3GaCu2Pt9

A geometry-optimized Nd3GaCu2Pt9 structure (PBE-GGA, Alexandria).

abc: 7.6414 7.6414 6.0692
angles: 90.00 90.00 120.00
Sites, in units of the cell vectors:
Pt 0.3323 0.1661 0.6714
Pt 0.8339 0.1661 0.6714
Pt 0.8339 0.6677 0.6714
Pt 0.5000 0.0000 0.0000
Pt 0.1661 0.3323 0.3286
Pt 0.1661 0.8339 0.3286
Pt 0.6677 0.8339 0.3286
Pt 0.5000 0.5000 0.0000
Pt 0.0000 0.5000 0.0000
Nd 0.0000 0.0000 0.0000
Nd 0.3333 0.6667 0.6694
Nd 0.6667 0.3333 0.3306
Ga 0.0000 0.0000 0.5000
Cu 0.3333 0.6667 0.1660
Cu 0.6667 0.3333 0.8340

- Total magnetic moment: 0.0 Bohr magnetons per cell
- Formation energy from the elements: -419 meV per atom
- Total DFT energy (no corrections): -5.74 eV per atom

=====

2.
# NdGa2CuPt5

A geometry-optimized NdGa2CuPt5 structure (PBE-GGA, Alexandria).

abc: 4.0293 4.0293 11.0769
angles: 90.00 90.00 90.00
Sites, in units of the cell vectors:
Pt 0.5000 0.0000 0.1437
Pt 0.5000 0.0000 0.8563
Pt 0.0000 0.5000 0.8563
Pt 0.5000 0.5000 0.5000
Pt 0.0000 0.5000 0.1437
Ga 0.5000 0.5000 0.7224
Ga 0.5000 0.5000 0.2776
Cu 0.0000 0.0000 0.0000
Nd 0.0000 0.0000 0.5000

- Total magnetic moment: 0.0 Bohr magnetons per cell
- Formation energy from the elements: -433 meV per atom
- Total DFT energy (no corrections): -5.45 eV per atom

=====

Q: Which value of total DFT energy (no corrections) does entry 2 give?
A: -5.45 eV per atom

=====

Q: What is the formula in the second record?
A: NdGa2CuPt5

=====

Q: Which of these has the highest total DFT energy (no corrections)?
A: NdGa2CuPt5

=====

What did the second record say?
# NdGa2CuPt5

A geometry-optimized NdGa2CuPt5 structure (PBE-GGA, Alexandria).

abc: 4.0293 4.0293 11.0769
angles: 90.00 90.00 90.00
Sites, in units of the cell vectors:
Pt 0.5000 0.0000 0.1437
Pt 0.5000 0.0000 0.8563
Pt 0.0000 0.5000 0.8563
Pt 0.5000 0.5000 0.5000
Pt 0.0000 0.5000 0.1437
Ga 0.5000 0.5000 0.7224
Ga 0.5000 0.5000 0.2776
Cu 0.0000 0.0000 0.0000
Nd 0.0000 0.0000 0.5000

- Total magnetic moment: 0.0 Bohr magnetons per cell
- Formation energy from the elements: -433 meV per atom
- Total DFT energy (no corrections): -5.45 eV per atom